[1]
DFT (PBE) results for a relaxed structure of ScNbHg.

Values from the calculation:
SG ... No. 216
Energy of formation ... 0.7762 eV/atom

Cell: 4.695 4.695 4.695 Å, 60.00 60.00 60.00°
Positions (direct):
1 Sc 0.750 0.750 0.750
2 Hg 0.250 0.250 0.250
3 Nb 0.000 0.000 0.000


[2]
DFT (PBE) results for a relaxed structure of Sc2Nb2Hg.

Values from the calculation:
SG ... No. 139
Energy of formation ... 0.6816 eV/atom

Cell: 7.045 7.045 7.045 Å, 146.31 146.31 48.38°
Positions (direct):
1 Nb 0.412 0.412 0.000
2 Hg 0.000 0.000 0.000
3 Sc 0.250 0.750 0.500
4 Nb 0.588 0.588 0.000
5 Sc 0.750 0.250 0.500


[3]
DFT (PBE) results for a relaxed structure of ScNbHg2.

Values from the calculation:
SG ... No. 216
Energy of formation ... 0.3218 eV/atom

Cell: 4.895 4.895 4.895 Å, 60.00 60.00 60.00°
Positions (direct):
1 Nb 0.750 0.750 0.750
2 Hg 0.500 0.500 0.500
3 Hg 0.250 0.250 0.250
4 Sc 0.000 0.000 0.000


[4]
DFT (PBE) results for a relaxed structure of NbHg3Se4.

Values from the calculation:
SG ... No. 217
Electronic total energy ... -25.6 eV for the cell shown

Cell: 6.509 6.509 6.509 Å, 109.47 109.47 109.47°
Positions (direct):
1 Nb 0.000 0.000 0.000
2 Hg 0.500 0.500 0.000
3 Se 0.000 0.000 0.376
4 Se 0.624 0.624 0.624
5 Se 0.376 0.000 0.000
6 Hg 0.000 0.500 0.500
7 Se 0.000 0.376 0.000
8 Hg 0.500 0.000 0.500


[5]
DFT (PBE) results for a relaxed structure of NbHgSe2.

Values from the calculation:
SG ... No. 1
Electronic total energy ... -19.9 eV for the cell shown

Cell: 3.445 3.446 9.820 Å, 89.58 89.50 60.04°
Positions (direct):
1 Nb 0.128 0.067 0.376
2 Hg 0.458 0.388 0.877
3 Se 0.464 0.402 0.205
4 Se 0.458 0.398 0.548


[6]
DFT (PBE) results for a relaxed structure of NbHg3Se4.

Values from the calculation:
SG ... No. 215
Electronic total energy ... -26.2 eV for the cell shown

Cell: 6.900 6.900 6.900 Å, 90.00 90.00 90.00°
Positions (direct):
1 Hg 0.500 0.000 0.000
2 Se 0.792 0.792 0.208
3 Se 0.792 0.208 0.792
4 Nb 0.000 0.000 0.000
5 Hg 0.000 0.500 0.000
6 Se 0.208 0.792 0.792
7 Hg 0.000 0.000 0.500
8 Se 0.208 0.208 0.208


We obtain magnetization values of 2.4, 0.0, 3.0, 0.6, 0.0, 0.9 μB/cell for the records listed above, in that order.